The following is a DFT calculation (GGA-PBE) of an optimized crystal structure of Dy4InHgC.

The structure in POSCAR format:
```
Dy4InHgC
1.0
-0.901 -5.601 -4.044
6.906 -0.585 -0.728
0.715 -1.612 8.076
Hg In Dy C
2 2 8 2
Cartesian
4.930 -6.600 2.042 Hg
1.790 -1.199 1.261 Hg
4.792 -4.284 -1.136 In
1.928 -3.515 4.439 In
1.322 -3.719 -1.145 Dy
3.811 -1.099 3.674 Dy
-0.093 -3.607 2.016 Dy
0.358 -0.806 4.038 Dy
5.224 -1.176 0.464 Dy
1.496 -6.624 2.839 Dy
5.398 -4.080 4.448 Dy
3.360 -3.900 1.652 Dy
5.311 -2.634 2.465 C
1.409 -5.165 0.838 C
```

Summary:
- E_form (eV per atom) = -0.357
- symmetry = No. 63
- ρ (g/cm³) = 8.9
- energy (eV per cell) = -66.35

The following is a DFT calculation (GGA-PBE) of an optimized crystal structure of TiSn3Pb.

The structure in POSCAR format:
```
TiSn3Pb
1.0
-1.529 -2.524 4.437
5.099 -0.534 1.453
-0.244 4.663 2.569
Pb Sn Ti
1 3 1
Cartesian
1.664 0.802 4.229 Pb
-0.122 2.331 1.284 Sn
-0.764 -1.262 2.219 Sn
2.550 -0.267 0.726 Sn
0.000 0.000 0.000 Ti
```

Summary:
- E above lowest polymorph (meV/atom) = 0.0
- E_form (eV per atom) = 0.189
- symmetry = No. 221
- ρ (g/cm³) = 6.7
- energy (eV per cell) = -22.67

The following is a DFT calculation (GGA-PBE) of an optimized crystal structure of CrGaI6.

The structure in POSCAR format:
```
CrGaI6
1.0
-2.808 2.126 -6.177
0.985 -3.881 -5.876
-5.875 -3.847 -2.747
I Ga Cr
6 1 1
Cartesian
-2.887 -0.604 -5.830 I
-4.307 -4.255 -4.972 I
-6.474 -1.656 -7.282 I
-3.391 -1.348 -9.828 I
-1.224 -3.947 -7.518 I
-4.811 -4.998 -8.970 I
-3.849 -2.801 -7.400 Ga
0.000 0.000 0.000 Cr
```

Summary:
- formation energy from raw total energies (meV/atom) = -251
- symmetry = No. 148
- ρ (g/cm³) = 5.3
- energy (eV per cell) = -23.96

The following is a DFT calculation (GGA-PBE) of an optimized crystal structure of Ba2AcAu6.

The structure in POSCAR format:
```
Ba2AcAu6
1.0
-0.173 1.209 3.895
-7.548 -3.771 0.834
7.104 -4.322 1.657
Au Ba Ac
6 2 1
Cartesian
-2.581 -0.642 2.223 Au
4.670 -2.289 3.057 Au
2.261 -0.824 2.495 Au
1.964 -6.242 4.163 Au
-0.233 -2.070 2.771 Au
-0.384 -4.814 3.616 Au
2.220 -4.138 1.383 Ba
-2.837 -2.746 5.004 Ba
0.000 0.000 0.000 Ac
```

Summary:
- E_form (eV per atom) = -0.749
- symmetry = No. 191
- ρ (g/cm³) = 11.0
- energy (eV per cell) = -34.36

The following is a DFT calculation (GGA-PBE) of an optimized crystal structure of KZn2Co.

The structure in POSCAR format:
```
KZn2Co
1.0
6.055 0.027 -0.013
3.113 5.194 0.013
-3.735 -4.102 2.428
Co K Zn
1 1 2
Cartesian
4.937 2.811 0.000 Co
2.108 1.924 1.220 K
3.247 -0.849 1.207 Zn
8.892 5.064 0.000 Zn
```

Summary:
- E above lowest polymorph (meV/atom) = 253.8
- E_form (eV per atom) = 0.533
- symmetry = No. 44
- ρ (g/cm³) = 5.0
- energy (eV per cell) = -8.62

The following is a DFT calculation (GGA-PBE) of an optimized crystal structure of Ho3SbN.

The structure in POSCAR format:
```
Ho3SbN
1.0
4.913 0.000 0.000
0.000 7.214 0.000
0.000 -3.607 7.241
Ho N Sb
6 2 2
Cartesian
3.685 3.210 5.674 Ho
3.685 4.555 1.059 Ho
1.228 3.202 2.907 Ho
1.228 0.948 6.182 Ho
3.685 -0.405 4.333 Ho
1.228 -0.397 1.567 Ho
3.685 1.019 6.032 N
1.228 4.626 1.209 N
1.228 -2.036 5.272 Sb
3.685 1.571 1.969 Sb
```

Summary:
- formation energy from raw total energies (meV/atom) = -933
- symmetry = No. 40
- ρ (g/cm³) = 8.2
- energy (eV per cell) = -61.69

The following is a DFT calculation (GGA-PBE) of an optimized crystal structure of Ba2LiPPb.

The structure in POSCAR format:
```
Ba2LiPPb
1.0
6.330 0.000 0.000
0.000 6.330 0.000
0.000 0.000 4.610
Ba P Pb Li
2 1 1 1
Cartesian
0.000 3.165 0.000 Ba
3.165 0.000 0.000 Ba
0.000 0.000 0.000 P
3.165 3.165 2.305 Pb
0.000 0.000 2.305 Li
```

Summary:
- E_form (eV per atom) = -0.555
- symmetry = No. 123
- ρ (g/cm³) = 4.7
- energy (eV per cell) = -17.65

The following is a DFT calculation (GGA-PBE) of an optimized crystal structure of LiCu6Si.

The structure in POSCAR format:
```
LiCu6Si
1.0
3.844 0.000 0.000
0.000 4.992 -0.145
0.000 0.171 4.991
Si Li Cu
1 1 6
Cartesian
1.922 3.184 1.781 Si
1.922 0.773 4.349 Li
1.922 0.688 1.854 Cu
0.000 1.987 3.056 Cu
0.000 4.381 0.505 Cu
1.922 3.269 4.276 Cu
0.000 1.899 0.575 Cu
0.000 4.469 2.987 Cu
```

Summary:
- E above lowest polymorph (meV/atom) = 0.0
- formation energy from raw total energies (meV/atom) = -78
- symmetry = No. 65
- ρ (g/cm³) = 7.2
- energy (eV per cell) = -32.54

> Look up the energy of the fifth one.

-8.62 eV per cell

> Look up the energy of the fourth one.

-34.36 eV per cell

> Which value of ρ does entry 5 give?

5.0 g/cm³

> Among the records above, which one has the highest ρ?

Ba2AcAu6